Density functional theory data (PBE-GGA) for crystalline SmGd2TmAl2 at its relaxed geometry.

Cell: 5.2649 5.2649 6.7183 Å, 90.00 90.00 120.00°
With the nearest neighbours (Å) after each atom.
Element x y z (fractional)
1 Al 0.6667 0.3333 0.0000  3 Sm 3.04, 2 Tm 3.36
2 Al 0.3333 0.6667 0.5000  3 Tm 3.04, 2 Sm 3.36
3 Sm 0.3333 0.6667 0.0000  5 Al 3.04-3.36
4 Gd 0.0000 0.0000 0.7445  2 Gd 3.28-3.43, 6 Al 3.46-3.49, 3 Tm 3.46, 3 Sm 3.49
5 Gd 0.0000 0.0000 0.2555  2 Gd 3.28-3.43, 6 Al 3.46-3.49, 3 Tm 3.46, 3 Sm 3.49
6 Tm 0.6667 0.3333 0.5000  5 Al 3.04-3.36

Summary:
- DFT total energy (eV/atom) = -4.5823
- V (Å³/cell) = 161.3